No. 1
Compound: CuNi2Rh
Source: Alexandria via LeMat-Bulk
Functional: GGA-PBE
Structure: relaxed

SG: P2/m (10)
Fermi-level density of states (states/eV/atom): 1.36
Total DFT energy (no corrections) (eV/atom): -5.7035

Cell: 2.621 3.606 5.138 Å, 90.00 90.11 90.00°
Atoms (fractional coordinates):
Cu  0.000  0.000  0.000
Ni  0.500  0.500  0.246
Ni  0.500  0.500  0.754
Rh  0.000  0.000  0.500


No. 2
Compound: Ba2PdI6
Source: Alexandria via LeMat-Bulk
Functional: GGA-PBE
Structure: relaxed

Raw formation energy (eV per atom): -1.10
SG: P4_2/mnm (136)
ΔE to the lowest computed polymorph (eV/atom): 0.1362
Fermi-level density of states (states/eV/atom): 0.02

Cell: 8.067 8.067 14.339 Å, 90.00 90.00 90.00°
Atoms (fractional coordinates):
Ba  0.000  0.000  0.165
Ba  0.000  0.000  0.835
Ba  0.500  0.500  0.335
Ba  0.500  0.500  0.665
Pd  0.000  0.000  0.500
Pd  0.500  0.500  0.000
I  0.169  0.169  0.368
I  0.169  0.169  0.632
I  0.203  0.203  0.000
I  0.297  0.703  0.500
I  0.331  0.669  0.132
I  0.331  0.669  0.868
I  0.669  0.331  0.132
I  0.669  0.331  0.868
I  0.703  0.297  0.500
I  0.797  0.797  0.000
I  0.831  0.831  0.368
I  0.831  0.831  0.632


No. 3
Compound: TlBi2Pb6
Source: Alexandria via LeMat-Bulk
Functional: GGA-PBE
Structure: relaxed

SG: C2/m (12)
ΔE to the lowest computed polymorph (eV/atom): 0.0257
Fermi-level density of states (states/eV/atom): 0.54

Cell: 8.236 8.236 12.032 Å, 120.51 120.51 24.58°
Atoms (fractional coordinates):
Tl  0.000  0.000  0.000
Bi  0.343  0.343  0.702
Bi  0.657  0.657  0.298
Pb  0.047  0.047  0.746
Pb  0.233  0.233  0.107
Pb  0.375  0.375  0.448
Pb  0.625  0.625  0.552
Pb  0.767  0.767  0.893
Pb  0.953  0.953  0.254


No. 4
Compound: Sc6Cd5Sb
Source: Alexandria via LeMat-Bulk
Functional: GGA-PBE
Structure: relaxed

Raw formation energy (eV per atom): -0.37
SG: Cmmm (65)
Fermi-level density of states (states/eV/atom): 1.06

Cell: 8.014 8.014 6.935 Å, 90.00 90.00 143.32°
Atoms (fractional coordinates):
Sc  0.000  0.000  0.245
Sc  0.000  0.000  0.755
Sc  0.334  0.666  0.253
Sc  0.334  0.666  0.747
Sc  0.666  0.334  0.253
Sc  0.666  0.334  0.747
Cd  0.165  0.835  0.500
Cd  0.178  0.822  0.000
Cd  0.500  0.500  0.500
Cd  0.822  0.178  0.000
Cd  0.835  0.165  0.500
Sb  0.500  0.500  0.000


No. 5
Compound: YBi2Pd2
Source: Alexandria via LeMat-Bulk
Functional: GGA-PBE
Structure: relaxed

SG: P4/mbm (127)
ΔE to the lowest computed polymorph (eV/atom): 0.1343
Fermi-level density of states (states/eV/atom): 0.58

Cell: 8.275 8.275 3.417 Å, 90.00 90.00 90.00°
Atoms (fractional coordinates):
Y  0.000  0.000  0.000
Y  0.500  0.500  0.000
Bi  0.148  0.352  0.000
Bi  0.352  0.852  0.000
Bi  0.648  0.148  0.000
Bi  0.852  0.648  0.000
Pd  0.151  0.651  0.500
Pd  0.349  0.151  0.500
Pd  0.651  0.849  0.500
Pd  0.849  0.349  0.500


No. 6
Compound: Zn2HgOs
Source: Alexandria via LeMat-Bulk
Functional: GGA-PBE
Structure: relaxed

SG: I4/mmm (139)
Fermi-level density of states (states/eV/atom): 0.46
Total DFT energy (no corrections) (eV/atom): -3.0921

Cell: 4.729 4.729 4.729 Å, 128.47 128.47 75.87°
Atoms (fractional coordinates):
Zn  0.250  0.750  0.500
Zn  0.750  0.250  0.500
Hg  0.000  0.000  0.000
Os  0.500  0.500  0.000


No. 7
Compound: ZrScNi4
Source: Alexandria via LeMat-Bulk
Functional: GGA-PBE
Structure: relaxed

SG: F-43m (216)
Fermi-level density of states (states/eV/atom): 0.95
Total DFT energy (no corrections) (eV/atom): -6.8039

Cell: 4.910 4.910 4.910 Å, 60.00 60.00 60.00°
Atoms (fractional coordinates):
Zr  0.000  0.000  0.000
Sc  0.250  0.250  0.250
Ni  0.126  0.625  0.625
Ni  0.625  0.126  0.625
Ni  0.625  0.625  0.126
Ni  0.625  0.625  0.625


No. 8
Compound: KCaAgS2
Source: Alexandria via LeMat-Bulk
Functional: GGA-PBE
Structure: relaxed

Raw formation energy (eV per atom): -1.13
SG: Cmme (67)
Fermi-level density of states (states/eV/atom): 0.00

Cell: 8.178 8.178 5.566 Å, 90.00 90.00 126.84°
Atoms (fractional coordinates):
K  0.250  0.750  0.789
K  0.750  0.250  0.211
Ca  0.250  0.250  0.500
Ca  0.750  0.750  0.500
Ag  0.000  0.000  0.000
Ag  0.500  0.500  0.000
S  0.117  0.883  0.292
S  0.383  0.617  0.292
S  0.617  0.383  0.708
S  0.883  0.117  0.708